(1)
DFT (PBE) results for an optimized crystal structure of La3PmIn.

Cell and atoms, written as POSCAR:
```
La3PmIn
1.0
2.486 -13.253 0.000
2.486 13.253 0.000
0.000 0.000 4.973
La Pm In
6 2 2
Cartesian
2.486 11.820 3.729 La
2.486 6.621 3.729 La
2.486 1.523 3.729 La
2.486 -1.523 1.243 La
2.486 -6.621 1.243 La
2.486 -11.820 1.243 La
2.486 4.066 1.243 Pm
2.486 -4.066 3.729 Pm
2.486 9.196 1.243 In
2.486 -9.196 3.729 In
```

Values from the calculation:
As for the total magnetization: 0.00 μB/cell. As for the distance to the lowest polymorph of the same formula: 0 meV per atom.

=====

(2)
DFT (PBE) results for an optimized crystal structure of Rb3U3InTe8.

Cell and atoms, written as POSCAR:
```
Rb3U3InTe8
1.0
4.547 2.625 8.559
-4.547 2.625 8.559
0.000 -5.250 8.559
Rb U In Te
3 3 1 8
Cartesian
-2.274 -1.313 8.559 Rb
-2.274 1.313 17.117 Rb
0.000 2.625 8.559 Rb
-4.547 0.000 12.838 U
-2.274 1.313 4.279 U
2.274 1.313 4.279 U
0.000 0.000 12.838 In
-2.357 -1.361 14.512 Te
0.000 0.000 5.996 Te
0.000 -2.722 11.164 Te
-2.357 1.361 11.164 Te
2.357 -1.361 14.512 Te
0.000 2.722 14.512 Te
0.000 0.000 19.680 Te
2.357 1.361 11.164 Te
```

Values from the calculation:
As for the total magnetization: 7.15 μB/cell. The calculation puts the raw formation energy at -755.8 meV/atom.

=====

(3)
DFT (PBE) results for an optimized crystal structure of Hf4Re2Pd.

Cell and atoms, written as POSCAR:
```
Hf4Re2Pd
1.0
-3.246 3.246 3.277
3.246 -3.246 3.277
3.246 3.246 -3.277
Hf Re Pd
4 2 1
Cartesian
1.623 1.623 -1.638 Hf
1.623 -1.623 1.638 Hf
-1.623 1.623 1.638 Hf
1.623 1.623 1.638 Hf
3.246 0.000 0.000 Re
0.000 3.246 0.000 Re
0.000 0.000 0.000 Pd
```

Values from the calculation:
As for the total magnetization: 0.00 μB/cell. The raw total energy is -10.25 eV per atom.